5
Lattice="4.823 0.000 0.000 0.000 4.823 0.000 0.000 0.000 4.838" Properties=species:S:1:pos:R:3 comment="NbInPS2 PBEsol optimized geometry" dos_ef_per_ev_fu=5.16 e_above_lowest_polymorph_ev_per_fu=6.12 m_tot_mub_per_atom=0.358 e_form_raw_ev_per_atom=1.003 pbc="T T T"
Nb 0.000 0.000 0.000
In 2.412 2.412 2.419
P 2.412 2.412 0.000
S 0.000 2.412 2.419
S 2.412 0.000 2.419

***

46
Lattice="12.460 0.000 0.000 0.000 12.460 0.000 0.000 0.000 3.890" Properties=species:S:1:pos:R:3 comment="Na2HoTa5O15 PBEsol optimized geometry" dos_ef_per_ev_fu=0.00 m_tot_mub_per_atom=0.000 e_form_raw_ev_per_atom=-2.839 pbc="T T T"
Na 1.962 4.268 0.000
Na 4.268 10.498 0.000
Na 8.192 1.962 0.000
Na 10.498 8.192 0.000
Ho 0.000 0.000 0.000
Ho 6.230 6.230 0.000
Ta 0.000 6.230 1.945
Ta 0.988 9.836 1.945
Ta 2.624 0.988 1.945
Ta 3.606 7.218 1.945
Ta 5.242 3.606 1.945
Ta 6.230 0.000 1.945
Ta 7.218 8.854 1.945
Ta 8.854 5.242 1.945
Ta 9.836 11.472 1.945
Ta 11.472 2.624 1.945
O 0.000 6.230 0.000
O 0.039 4.249 1.945
O 0.729 1.620 1.945
O 0.957 10.134 0.000
O 1.620 11.731 1.945
O 1.981 6.191 1.945
O 2.327 0.957 0.000
O 2.771 9.001 1.945
O 3.459 2.771 1.945
O 3.903 7.187 0.000
O 4.249 12.421 1.945
O 4.610 5.501 1.945
O 5.273 3.903 0.000
O 5.501 7.850 1.945
O 6.191 10.479 1.945
O 6.230 0.000 0.000
O 6.270 1.981 1.945
O 6.960 4.610 1.945
O 7.187 8.557 0.000
O 7.850 6.960 1.945
O 8.211 0.039 1.945
O 8.557 5.273 0.000
O 9.001 9.689 1.945
O 9.689 3.459 1.945
O 10.134 11.504 0.000
O 10.479 6.270 1.945
O 10.841 0.729 1.945
O 11.504 2.327 0.000
O 11.731 10.841 1.945
O 12.421 8.211 1.945

***

5
Lattice="4.670 0.000 0.000 0.000 4.670 0.000 0.000 0.000 4.670" Properties=species:S:1:pos:R:3 comment="Al3NiAg PBEsol optimized geometry" total_energy_ev_per_atom=-3.48 dos_ef_per_ev_fu=2.11 m_tot_mub_per_atom=0.000 pbc="T T T"
Al 0.000 0.000 2.335
Al 0.000 2.335 0.000
Al 2.335 0.000 0.000
Ni 2.335 2.335 2.335
Ag 0.000 0.000 0.000

***

18
Lattice="3.055 -7.799 0.000 3.055 7.799 0.000 0.000 0.000 5.197" Properties=species:S:1:pos:R:3 comment="Li2Ti2O5 PBEsol optimized geometry" dos_ef_per_ev_fu=0.00 e_above_lowest_polymorph_ev_per_fu=0.00 m_tot_mub_per_atom=0.000 e_form_raw_ev_per_atom=-2.714 pbc="T T T"
Li 0.911 0.854 0.000
Li 0.911 -0.854 2.599
Li 5.200 0.854 2.599
Li 5.200 -0.854 0.000
Ti 2.095 2.209 2.619
Ti 2.095 -2.209 0.021
Ti 4.016 2.209 0.021
Ti 4.016 -2.209 2.619
O 1.528 3.899 2.983
O 0.949 1.037 3.225
O 0.949 -1.037 0.626
O 2.354 1.922 0.810
O 3.757 1.922 3.409
O 1.528 -3.899 0.384
O 2.354 -1.922 3.409
O 3.757 -1.922 0.810
O 5.162 1.037 0.626
O 5.162 -1.037 3.225

***

5
Lattice="4.028 0.000 0.000 0.000 4.028 0.000 0.000 0.000 5.579" Properties=species:S:1:pos:R:3 comment="AsPdBrF2 PBEsol optimized geometry" dos_ef_per_ev_fu=1.85 m_tot_mub_per_atom=0.000 e_form_raw_ev_per_atom=0.066 pbc="T T T"
As 0.000 0.000 0.000
Pd 2.014 2.014 0.000
Br 0.000 0.000 2.789
F 0.000 2.014 2.789
F 2.014 0.000 2.789

***

4
Lattice="-1.754 1.754 3.570 1.754 -1.754 3.570 1.754 1.754 -3.570" Properties=species:S:1:pos:R:3 comment="FeCo2As PBEsol optimized geometry" total_energy_ev_per_atom=-7.43 dos_ef_per_ev_fu=4.26 m_tot_mub_per_atom=0.929 pbc="T T T"
Fe 0.000 0.000 0.000
Co 1.754 0.000 1.785
Co 0.000 0.000 3.570
As 0.000 1.754 1.785

***

6
Lattice="1.965 -6.126 0.000 1.965 6.126 0.000 0.000 0.000 5.735" Properties=species:S:1:pos:R:3 comment="CuTe2 PBEsol optimized geometry" dos_ef_per_ev_fu=1.69 m_tot_mub_per_atom=0.000 e_form_raw_ev_per_atom=-0.001 pbc="T T T"
Cu 1.965 4.044 4.301
Cu 1.965 -4.044 1.434
Te 1.965 3.828 1.434
Te 1.965 0.353 1.434
Te 1.965 -0.353 4.301
Te 1.965 -3.828 4.301

***

20
Lattice="3.793 0.000 0.000 0.000 5.381 0.000 0.000 0.000 10.754" Properties=species:S:1:pos:R:3 comment="Sr3CaV4O12 PBEsol optimized geometry" dos_ef_per_ev_fu=6.24 m_tot_mub_per_atom=0.000 e_form_raw_ev_per_atom=-2.821 pbc="T T T"
Sr 0.000 0.000 0.000
Sr 0.000 2.691 2.697
Sr 0.000 2.691 8.058
Ca 0.000 0.000 5.377
V 1.897 0.000 2.713
V 1.897 0.000 8.042
V 1.897 2.691 0.000
V 1.897 2.691 5.377
O 0.000 0.000 2.729
O 0.000 0.000 8.025
O 0.000 2.691 0.000
O 0.000 2.691 5.377
O 1.897 1.333 4.055
O 1.897 1.333 6.699
O 1.897 1.344 1.353
O 1.897 1.344 9.401
O 1.897 4.037 1.353
O 1.897 4.037 9.401
O 1.897 4.048 4.055
O 1.897 4.048 6.699

***

Copy entry 3 word for word.
5
Lattice="4.670 0.000 0.000 0.000 4.670 0.000 0.000 0.000 4.670" Properties=species:S:1:pos:R:3 comment="Al3NiAg PBEsol optimized geometry" total_energy_ev_per_atom=-3.48 dos_ef_per_ev_fu=2.11 m_tot_mub_per_atom=0.000 pbc="T T T"
Al 0.000 0.000 2.335
Al 0.000 2.335 0.000
Al 2.335 0.000 0.000
Ni 2.335 2.335 2.335
Ag 0.000 0.000 0.000